[1]
11
Lattice="4.100 0.000 0.000 0.000 8.600 0.992 -2.050 -1.310 12.373" Properties=species:S:1:pos:R:3 comment="Pm4Pt2I5, relaxed, DFT PBE" e_form_raw_mev_per_atom=-1134 crystal_system=monoclinic pbc="T T T"
I 2.050 5.196 7.803
I 0.000 6.687 4.369
I 0.000 2.095 5.563
I 2.050 0.000 0.000
I 2.050 0.604 8.997
Pm 2.050 1.353 12.273
Pm 2.050 4.253 4.492
Pm 0.000 3.037 8.873
Pm 0.000 5.938 1.092
Pt 2.050 3.941 1.809
Pt 0.000 3.350 11.556

***

[2]
13
Lattice="6.879 0.010 0.007 4.100 5.523 0.007 4.100 2.066 5.122" Properties=species:S:1:pos:R:3 comment="Zn7C6, relaxed, DFT PBE" ef_mev_per_atom=1060 crystal_system=trigonal pbc="T T T"
Zn 6.611 3.332 0.189
Zn 8.468 4.268 4.947
Zn 5.073 4.470 3.021
Zn 10.006 3.130 2.115
Zn 6.611 1.418 3.021
Zn 7.539 3.800 2.568
Zn 8.468 6.182 2.115
C 9.275 4.675 3.159
C 2.898 1.460 0.987
C 1.776 0.895 0.605
C 13.303 6.705 4.531
C 5.803 2.925 1.977
C 12.181 6.140 4.149

***

[3]
11
Lattice="5.347 0.024 0.038 -2.622 4.660 0.038 -0.988 -1.699 5.450" Properties=species:S:1:pos:R:3 comment="Na2GaPd2O6, relaxed, DFT PBE" e_form_raw_mev_per_atom=-1088 crystal_system=monoclinic pbc="T T T"
O 1.265 -0.898 3.788
O 1.354 2.327 3.817
O 3.143 2.329 1.739
O -1.406 0.656 3.788
O 0.383 0.658 1.710
O 0.471 3.883 1.739
Ga -0.494 -0.849 2.725
Pd -0.447 2.257 2.763
Pd 2.183 0.727 2.763
Na -1.261 3.868 0.038
Na 3.985 0.816 0.038

***

[4]
5
Lattice="4.143 0.000 0.000 0.000 4.524 0.000 0.000 0.000 4.143" Properties=species:S:1:pos:R:3 comment="Mn2BeVSb, relaxed, DFT PBE" e_form_raw_mev_per_atom=634 crystal_system=tetragonal pbc="T T T"
V 2.072 2.262 2.072
Sb 0.000 2.262 0.000
Mn 2.072 0.000 0.000
Mn 0.000 0.000 2.072
Be 0.000 0.000 0.000

***

[5]
5
Lattice="4.814 0.000 0.000 0.000 4.814 0.000 0.000 0.000 4.814" Properties=species:S:1:pos:R:3 comment="Sc3SeS, relaxed, DFT PBE" e_form_raw_mev_per_atom=-745 relative_energy_ev_per_atom=0.578 crystal_system=cubic pbc="T T T"
Sc 2.407 0.000 0.000
Sc 0.000 0.000 2.407
Sc 0.000 2.407 0.000
S 0.000 0.000 0.000
Se 2.407 2.407 2.407

***

[6]
5
Lattice="5.759 0.000 0.000 0.000 5.759 0.000 0.000 0.000 2.909" Properties=species:S:1:pos:R:3 comment="HPdI2N, relaxed, DFT PBE" relative_energy_ev_per_atom=0.055 crystal_system=tetragonal pbc="T T T"
I 0.000 2.880 0.000
I 2.880 0.000 0.000
N 0.000 0.000 1.454
Pd 2.880 2.880 1.454
H 0.000 0.000 0.000

***

[7]
8
Lattice="4.186 0.000 0.000 0.000 7.644 0.140 0.000 -2.668 7.354" Properties=species:S:1:pos:R:3 comment="Th4Te2PbC, relaxed, DFT PBE" e_form_raw_mev_per_atom=-652 crystal_system=monoclinic pbc="T T T"
Th 2.093 3.255 5.947
Th 0.000 0.153 5.923
Th 2.093 1.722 1.547
Th 0.000 4.823 1.571
Te 0.000 2.488 3.747
Te 2.093 -1.334 3.677
C 2.093 3.822 0.070
Pb 0.000 0.000 0.000

***

[8]
5
Lattice="5.881 0.000 0.000 0.000 5.881 0.000 0.000 0.000 5.881" Properties=species:S:1:pos:R:3 comment="Na3SbMo, relaxed, DFT PBE" e_form_raw_mev_per_atom=876 relative_energy_ev_per_atom=0.000 crystal_system=cubic pbc="T T T"
Na 2.940 0.000 0.000
Na 0.000 2.940 0.000
Na 0.000 0.000 2.940
Mo 2.940 2.940 2.940
Sb 0.000 0.000 0.000